DFT (GGA-PBE) results for a relaxed structure of ThAlI.

Lattice parameters (Å, degrees): 4.3209 4.3209 12.7672 99.97 99.97 60.00
Closest atoms and distances in Å follow each position.
Positions (direct):
Th 0.0555 0.0555 0.1626  6 Al 3.19-3.25, 3 I 3.29
Th 0.9445 0.9445 0.8374  6 Al 3.19-3.25, 3 I 3.29
Al 0.3346 0.3346 0.0038  3 Al 2.50
Al 0.6654 0.6654 0.9962  3 Al 2.50
I 0.2192 0.2192 0.6655  3 Th 3.29
I 0.7808 0.7808 0.3345  3 Th 3.29

The total DFT energy (no corrections) is -5.038 eV/atom. The calculation puts the volume at 202 Å³/cell.


DFT (GGA-PBE) results for a relaxed structure of AlIn2Ir.

Lattice parameters (Å, degrees): 4.7326 4.7326 4.7326 60.00 60.00 60.00
Closest atoms and distances in Å follow each position.
Positions (direct):
Al 0.0000 0.0000 0.0000  4 In 2.90, 4 Ir 2.90
In 0.5000 0.5000 0.5000  4 In 2.90, 4 Ir 2.90
In 0.7500 0.7500 0.7500  4 In 2.90, 4 Al 2.90
Ir 0.2500 0.2500 0.2500  4 In 2.90, 4 Al 2.90

The total DFT energy (no corrections) is -4.327 eV/atom. The calculation puts the volume at 75 Å³/cell.


DFT (GGA-PBE) results for a relaxed structure of Al2InIr.

Lattice parameters (Å, degrees): 4.5636 4.5636 4.5636 60.00 60.00 60.00
Closest atoms and distances in Å follow each position.
Positions (direct):
Al 0.0000 0.0000 0.0000  4 Ir 2.79, 4 Al 2.79
Al 0.2500 0.2500 0.2500  4 In 2.79, 4 Al 2.79
In 0.5000 0.5000 0.5000  4 Ir 2.79, 4 Al 2.79
Ir 0.7500 0.7500 0.7500  4 In 2.79, 4 Al 2.79

The total DFT energy (no corrections) is -4.744 eV/atom. The calculation puts the volume at 67 Å³/cell.


DFT (GGA-PBE) results for a relaxed structure of Li4AlInIr2.

Lattice parameters (Å, degrees): 4.2989 4.2989 6.1874 90.00 90.00 90.00
Closest atoms and distances in Å follow each position.
Positions (direct):
Li 0.0000 0.0000 0.0000  4 Li 2.69, 4 Ir 2.74
Li 0.0000 0.5000 0.7373  4 Li 2.60-2.69, 2 Al 2.60, 2 In 2.69, 1 Ir 2.86
Li 0.5000 0.0000 0.2627  4 Li 2.60-2.69, 2 Al 2.60, 2 In 2.69, 1 Ir 2.86
Li 0.5000 0.5000 0.5000  4 Ir 2.56, 4 Li 2.60
Al 0.0000 0.0000 0.5000  4 Ir 2.56, 4 Li 2.60
In 0.5000 0.5000 0.0000  4 Li 2.69, 4 Ir 2.74
Ir 0.0000 0.5000 0.2745  5 Li 2.56-2.86, 2 Al 2.56, 2 In 2.74
Ir 0.5000 0.0000 0.7255  5 Li 2.56-2.86, 2 Al 2.56, 2 In 2.74

The total DFT energy (no corrections) is -4.360 eV/atom. The calculation puts the volume at 114 Å³/cell.


DFT (GGA-PBE) results for a relaxed structure of Li2Mg2AlInIr2.

Lattice parameters (Å, degrees): 4.4416 4.4416 6.3263 90.00 90.00 90.00
Closest atoms and distances in Å follow each position.
Positions (direct):
Li 0.0000 0.5000 0.2381  4 Mg 2.68-2.77, 2 Al 2.68, 2 In 2.77, 1 Ir 2.97
Li 0.5000 0.0000 0.7619  2 Al 2.68, 4 Mg 2.68-2.77, 2 In 2.77, 1 Ir 2.97
Mg 0.0000 0.0000 0.0000  4 Ir 2.66, 4 Li 2.68
Mg 0.5000 0.5000 0.5000  4 Li 2.77, 4 Ir 2.79
Al 0.5000 0.5000 0.0000  4 Ir 2.66, 4 Li 2.68
In 0.0000 0.0000 0.5000  4 Li 2.77, 4 Ir 2.79
Ir 0.0000 0.5000 0.7679  4 Mg 2.66-2.79, 2 Al 2.66, 2 In 2.79, 1 Li 2.97
Ir 0.5000 0.0000 0.2321  2 Al 2.66, 4 Mg 2.66-2.79, 2 In 2.79, 1 Li 2.97

The total DFT energy (no corrections) is -4.363 eV/atom. The calculation puts the volume at 125 Å³/cell.


DFT (GGA-PBE) results for a relaxed structure of NdAl4InIr.

Lattice parameters (Å, degrees): 4.4191 4.4191 7.1270 90.00 90.00 90.00
Closest atoms and distances in Å follow each position.
Positions (direct):
Nd 0.0000 0.0000 0.0000  4 In 3.12, 8 Al 3.15
Al 0.0000 0.5000 0.3143  2 Ir 2.58, 1 Al 2.65
Al 0.0000 0.5000 0.6857  2 Ir 2.58, 1 Al 2.65
Al 0.5000 0.0000 0.3143  2 Ir 2.58, 1 Al 2.65
Al 0.5000 0.0000 0.6857  2 Ir 2.58, 1 Al 2.65
In 0.5000 0.5000 0.0000  4 Nd 3.12, 8 Al 3.15
Ir 0.0000 0.0000 0.5000  8 Al 2.58

The total DFT energy (no corrections) is -5.072 eV/atom. The calculation puts the volume at 139 Å³/cell.


DFT (GGA-PBE) results for a relaxed structure of NdAlIn4Ir.

Lattice parameters (Å, degrees): 4.6412 4.6412 7.5582 90.00 90.00 90.00
Closest atoms and distances in Å follow each position.
Positions (direct):
Nd 0.0000 0.0000 0.0000  8 In 3.24, 4 Al 3.28
Al 0.5000 0.5000 0.0000  8 In 3.24, 4 Nd 3.28
In 0.0000 0.5000 0.2998  2 Ir 2.77, 1 In 3.03
In 0.0000 0.5000 0.7002  2 Ir 2.77, 1 In 3.03
In 0.5000 0.0000 0.2998  2 Ir 2.77, 1 In 3.03
In 0.5000 0.0000 0.7002  2 Ir 2.77, 1 In 3.03
Ir 0.0000 0.0000 0.5000  8 In 2.77

The total DFT energy (no corrections) is -4.406 eV/atom. The calculation puts the volume at 163 Å³/cell.


DFT (GGA-PBE) results for a relaxed structure of SrAl2In2Ir.

Lattice parameters (Å, degrees): 8.4432 4.2306 7.4137 90.00 90.00 90.00
Closest atoms and distances in Å follow each position.
Positions (direct):
Sr 0.2500 0.0000 0.1086  4 Al 3.33-3.59, 1 Ir 3.36, 8 In 3.40-3.56
Sr 0.7500 0.0000 0.8914  4 Al 3.33-3.59, 1 Ir 3.36, 8 In 3.40-3.56
Al 0.0000 0.0000 0.5000  2 Ir 2.41
Al 0.2500 0.5000 0.4554  2 Ir 2.58
Al 0.5000 0.0000 0.5000  2 Ir 2.41
Al 0.7500 0.5000 0.5446  2 Ir 2.58
In 0.0531 0.5000 0.7946  2 Ir 2.88, 4 Al 3.01-3.16, 1 In 3.18
In 0.4469 0.5000 0.7946  2 Ir 2.88, 4 Al 3.01-3.16, 1 In 3.18
In 0.5531 0.5000 0.2054  2 Ir 2.88, 4 Al 3.01-3.16, 1 In 3.18
In 0.9469 0.5000 0.2054  2 Ir 2.88, 4 Al 3.01-3.16, 1 In 3.18
Ir 0.2500 0.0000 0.6557  4 Al 2.41-2.58
Ir 0.7500 0.0000 0.3443  4 Al 2.41-2.58

The energy above the most stable polymorph in this dataset comes out at 0.0 meV per atom. The total DFT energy (no corrections) is -4.439 eV/atom. The calculation puts the volume at 265 Å³/cell.


DFT (GGA-PBE) results for a relaxed structure of SrAlIn3Ir.

Lattice parameters (Å, degrees): 8.8952 4.2113 7.5959 90.00 90.00 90.00
Closest atoms and distances in Å follow each position.
Positions (direct):
Sr 0.2500 0.0000 0.1184  1 Ir 3.33, 2 Al 3.45, 10 In 3.51-3.65
Sr 0.7500 0.0000 0.8816  1 Ir 3.33, 2 Al 3.45, 10 In 3.51-3.65
Al 0.2500 0.5000 0.4780  2 Ir 2.60
Al 0.7500 0.5000 0.5220  2 Ir 2.60
In 0.0000 0.0000 0.5000  2 Ir 2.61
In 0.0604 0.5000 0.8113  2 Ir 2.88, 1 Al 3.04, 3 In 3.06-3.21
In 0.4396 0.5000 0.8113  2 Ir 2.88, 1 Al 3.04, 3 In 3.06-3.21
In 0.5000 0.0000 0.5000  2 Ir 2.61
In 0.5604 0.5000 0.1887  2 Ir 2.88, 1 Al 3.04, 3 In 3.06-3.21
In 0.9396 0.5000 0.1887  2 Ir 2.88, 1 Al 3.04, 3 In 3.06-3.21
Ir 0.2500 0.0000 0.6795  2 Al 2.60, 6 In 2.61-2.88
Ir 0.7500 0.0000 0.3205  2 Al 2.60, 6 In 2.61-2.88

The total DFT energy (no corrections) is -4.130 eV/atom. The calculation puts the volume at 285 Å³/cell.


DFT (GGA-PBE) results for a relaxed structure of SrAl2In2Ir.

Lattice parameters (Å, degrees): 8.3590 4.2348 7.6703 90.00 90.00 90.00
Closest atoms and distances in Å follow each position.
Positions (direct):
Sr 0.2500 0.0000 0.1091  1 Ir 3.04, 2 In 3.29
Sr 0.7500 0.0000 0.8909  1 Ir 3.04, 2 In 3.29
Al 0.0828 0.5000 0.8067  2 Ir 2.64, 1 Al 2.79
Al 0.4172 0.5000 0.8067  2 Ir 2.64, 1 Al 2.79
Al 0.5828 0.5000 0.1933  2 Ir 2.64, 1 Al 2.79
Al 0.9172 0.5000 0.1933  2 Ir 2.64, 1 Al 2.79
In 0.0000 0.0000 0.5000  2 Ir 2.65
In 0.2500 0.5000 0.4381  2 Ir 2.98, 4 In 3.01, 2 Al 3.15, 2 Sr 3.29
In 0.5000 0.0000 0.5000  2 Ir 2.65
In 0.7500 0.5000 0.5619  2 Ir 2.98, 4 In 3.01, 2 Al 3.15, 2 Sr 3.29
Ir 0.2500 0.0000 0.7123  4 Al 2.64, 2 In 2.65
Ir 0.7500 0.0000 0.2877  4 Al 2.64, 2 In 2.65

The energy above the most stable polymorph in this dataset comes out at 163.4 meV per atom. The total DFT energy (no corrections) is -4.276 eV/atom. The calculation puts the volume at 272 Å³/cell.


DFT (GGA-PBE) results for a relaxed structure of TmAlIn4Ir.

Lattice parameters (Å, degrees): 4.6019 4.6019 7.3594 90.00 90.00 90.00
Closest atoms and distances in Å follow each position.
Positions (direct):
Tm 0.0000 0.0000 0.0000  8 In 3.15, 4 Al 3.25
Al 0.5000 0.5000 0.0000  8 In 3.15, 4 Tm 3.25
In 0.0000 0.5000 0.2932  2 Ir 2.76, 1 In 3.04
In 0.0000 0.5000 0.7068  2 Ir 2.76, 1 In 3.04
In 0.5000 0.0000 0.2932  2 Ir 2.76, 1 In 3.04
In 0.5000 0.0000 0.7068  2 Ir 2.76, 1 In 3.04
Ir 0.0000 0.0000 0.5000  8 In 2.76

The total DFT energy (no corrections) is -4.304 eV/atom. The calculation puts the volume at 156 Å³/cell.


DFT (GGA-PBE) results for a relaxed structure of TmAl4InIr.

Lattice parameters (Å, degrees): 4.3579 4.3579 6.9717 90.00 90.00 90.00
Closest atoms and distances in Å follow each position.
Positions (direct):
Tm 0.0000 0.0000 0.0000  8 Al 3.06, 4 In 3.08
Al 0.0000 0.5000 0.3090  2 Ir 2.55, 1 Al 2.66
Al 0.0000 0.5000 0.6910  2 Ir 2.55, 1 Al 2.66
Al 0.5000 0.0000 0.3090  2 Ir 2.55, 1 Al 2.66
Al 0.5000 0.0000 0.6910  2 Ir 2.55, 1 Al 2.66
In 0.5000 0.5000 0.0000  8 Al 3.06, 4 Tm 3.08
Ir 0.0000 0.0000 0.5000  8 Al 2.55

The total DFT energy (no corrections) is -5.020 eV/atom. The calculation puts the volume at 132 Å³/cell.


DFT (GGA-PBE) results for a relaxed structure of KAl6In3Ni2.

Lattice parameters (Å, degrees): 8.4733 8.4733 4.0636 90.00 90.00 120.00
Closest atoms and distances in Å follow each position.
Positions (direct):
K 0.0000 0.0000 0.0000  12 Al 3.79, 2 K 4.06, 6 In 4.24
Al 0.2182 0.4365 0.5000  2 Ni 2.64, 2 Al 2.93
Al 0.2182 0.7818 0.5000  2 Ni 2.64, 2 Al 2.93
Al 0.4365 0.2182 0.5000  2 Ni 2.64, 2 Al 2.93
Al 0.5635 0.7818 0.5000  2 Ni 2.64, 2 Al 2.93
Al 0.7818 0.2182 0.5000  2 Ni 2.64, 2 Al 2.93
Al 0.7818 0.5635 0.5000  2 Ni 2.64, 2 Al 2.93
In 0.0000 0.5000 0.0000  2 Ni 2.45
In 0.5000 0.0000 0.0000  2 Ni 2.45
In 0.5000 0.5000 0.0000  2 Ni 2.45
Ni 0.3333 0.6667 0.0000  3 In 2.45, 6 Al 2.64
Ni 0.6667 0.3333 0.0000  3 In 2.45, 6 Al 2.64

The total DFT energy (no corrections) is -3.643 eV/atom. The calculation puts the volume at 253 Å³/cell.


DFT (GGA-PBE) results for a relaxed structure of La2AlInNi4.

Lattice parameters (Å, degrees): 4.3293 4.3293 9.4781 90.00 90.00 120.00
Closest atoms and distances in Å follow each position.
Positions (direct):
La 0.3333 0.6667 0.2549  2 Ni 2.77-2.94
La 0.6667 0.3333 0.7451  2 Ni 2.77-2.94
Al 0.0000 0.0000 0.5000  6 Ni 2.54
In 0.0000 0.0000 0.0000  6 Ni 2.55
Ni 0.3333 0.6667 0.5471  3 Al 2.54, 3 Ni 2.65, 1 La 2.77
Ni 0.3333 0.6667 0.9452  3 In 2.55, 3 Ni 2.71
Ni 0.6667 0.3333 0.0548  3 In 2.55, 3 Ni 2.71
Ni 0.6667 0.3333 0.4529  3 Al 2.54, 3 Ni 2.65, 1 La 2.77

The total DFT energy (no corrections) is -5.263 eV/atom. The calculation puts the volume at 154 Å³/cell.


DFT (GGA-PBE) results for a relaxed structure of La2AlInPd4.

Lattice parameters (Å, degrees): 4.5389 4.5389 9.5889 90.00 90.00 120.00
Closest atoms and distances in Å follow each position.
Positions (direct):
La 0.3333 0.6667 0.2532  8 Pd 3.02-3.20
La 0.6667 0.3333 0.7468  8 Pd 3.02-3.20
Al 0.0000 0.0000 0.5000  6 Pd 2.70
In 0.0000 0.0000 0.0000  6 Pd 2.73
Pd 0.3333 0.6667 0.5684  3 Al 2.70, 3 Pd 2.93, 1 La 3.02
Pd 0.3333 0.6667 0.9191  3 In 2.73, 3 Pd 3.05
Pd 0.6667 0.3333 0.0809  3 In 2.73, 3 Pd 3.05
Pd 0.6667 0.3333 0.4316  3 Al 2.70, 3 Pd 2.93, 1 La 3.02

The total DFT energy (no corrections) is -5.459 eV/atom. The calculation puts the volume at 171 Å³/cell.


DFT (GGA-PBE) results for a relaxed structure of Li2Mg2AlInNi2.

Lattice parameters (Å, degrees): 4.3714 4.3714 6.2185 90.00 90.00 90.00
Closest atoms and distances in Å follow each position.
Positions (direct):
Li 0.0000 0.5000 0.2388  4 Mg 2.64-2.72, 2 Al 2.64, 2 In 2.72, 1 Ni 2.92
Li 0.5000 0.0000 0.7612  4 Mg 2.64-2.72, 2 Al 2.64, 2 In 2.72, 1 Ni 2.92
Mg 0.0000 0.0000 0.0000  4 Ni 2.62, 4 Li 2.64
Mg 0.5000 0.5000 0.5000  4 Li 2.72, 4 Ni 2.75
Al 0.5000 0.5000 0.0000  4 Ni 2.62, 4 Li 2.64
In 0.0000 0.0000 0.5000  4 Li 2.72, 4 Ni 2.75
Ni 0.0000 0.5000 0.7688  2 Al 2.62, 4 Mg 2.62-2.75, 2 In 2.75, 1 Li 2.92
Ni 0.5000 0.0000 0.2312  2 Al 2.62, 4 Mg 2.62-2.75, 2 In 2.75, 1 Li 2.92

The total DFT energy (no corrections) is -3.348 eV/atom. The calculation puts the volume at 119 Å³/cell.


DFT (GGA-PBE) results for a relaxed structure of Li2Mg2AlInPt2.

Lattice parameters (Å, degrees): 4.4786 4.4786 6.4061 90.00 90.00 90.00
Closest atoms and distances in Å follow each position.
Positions (direct):
Li 0.0000 0.5000 0.2365  2 Al 2.70, 4 Mg 2.70-2.80, 2 In 2.80, 1 Pt 2.98
Li 0.5000 0.0000 0.7635  2 Al 2.70, 4 Mg 2.70-2.80, 2 In 2.80, 1 Pt 2.98
Mg 0.0000 0.0000 0.0000  4 Pt 2.68, 4 Li 2.70
Mg 0.5000 0.5000 0.5000  4 Li 2.80, 4 Pt 2.83
Al 0.5000 0.5000 0.0000  4 Pt 2.68, 4 Li 2.70
In 0.0000 0.0000 0.5000  4 Li 2.80, 4 Pt 2.83
Pt 0.0000 0.5000 0.7710  2 Al 2.68, 4 Mg 2.68-2.83, 2 In 2.83, 1 Li 2.98
Pt 0.5000 0.0000 0.2290  2 Al 2.68, 4 Mg 2.68-2.83, 2 In 2.83, 1 Li 2.98

The total DFT energy (no corrections) is -3.881 eV/atom. The calculation puts the volume at 128 Å³/cell.


DFT (GGA-PBE) results for a relaxed structure of Li2AlInMo2Os2.

Lattice parameters (Å, degrees): 4.3471 4.3471 6.2125 90.00 90.00 90.00
Closest atoms and distances in Å follow each position.
Positions (direct):
Li 0.0000 0.5000 0.2407  4 Mo 2.64-2.71, 2 Al 2.64, 2 In 2.71
Li 0.5000 0.0000 0.7593  2 Al 2.64, 4 Mo 2.64-2.71, 2 In 2.71
Al 0.5000 0.5000 0.0000  4 Os 2.63, 4 Li 2.64
In 0.0000 0.0000 0.5000  4 Li 2.71, 4 Os 2.72
Mo 0.0000 0.0000 0.0000  4 Os 2.63, 4 Li 2.64
Mo 0.5000 0.5000 0.5000  4 Li 2.71, 4 Os 2.72
Os 0.0000 0.5000 0.7622  2 Al 2.63, 4 Mo 2.63-2.72, 2 In 2.72
Os 0.5000 0.0000 0.2378  2 Al 2.63, 4 Mo 2.63-2.72, 2 In 2.72

The total DFT energy (no corrections) is -6.937 eV/atom. The calculation puts the volume at 117 Å³/cell.


DFT (GGA-PBE) results for a relaxed structure of Li2Nb2AlInPt2.

Lattice parameters (Å, degrees): 4.4563 4.4563 6.4473 90.00 90.00 90.00
Closest atoms and distances in Å follow each position.
Positions (direct):
Li 0.0000 0.5000 0.2419  2 Al 2.72, 4 Nb 2.72-2.78, 2 In 2.78, 1 Pt 2.98
Li 0.5000 0.0000 0.7581  2 Al 2.72, 4 Nb 2.72-2.78, 2 In 2.78, 1 Pt 2.98
Nb 0.0000 0.0000 0.0000  4 Pt 2.64, 4 Li 2.72
Nb 0.5000 0.5000 0.5000  4 Li 2.78, 4 Pt 2.87
Al 0.5000 0.5000 0.0000  4 Pt 2.64, 4 Li 2.72
In 0.0000 0.0000 0.5000  4 Li 2.78, 4 Pt 2.87
Pt 0.0000 0.5000 0.7801  2 Al 2.64, 4 Nb 2.64-2.87, 2 In 2.87
Pt 0.5000 0.0000 0.2199  2 Al 2.64, 4 Nb 2.64-2.87, 2 In 2.87

The total DFT energy (no corrections) is -5.731 eV/atom. The calculation puts the volume at 128 Å³/cell.


DFT (GGA-PBE) results for a relaxed structure of Li2Sc2AlInPd2.

Lattice parameters (Å, degrees): 4.5590 4.5590 6.5025 90.00 90.00 90.00
Closest atoms and distances in Å follow each position.
Positions (direct):
Li 0.0000 0.5000 0.2408  4 Sc 2.77-2.83, 2 Al 2.77, 2 In 2.83, 1 Pd 3.08
Li 0.5000 0.0000 0.7592  2 Al 2.77, 4 Sc 2.77-2.83, 2 In 2.83, 1 Pd 3.08
Sc 0.0000 0.0000 0.0000  4 Pd 2.74, 4 Li 2.77
Sc 0.5000 0.5000 0.5000  4 Li 2.83, 4 Pd 2.87
Al 0.5000 0.5000 0.0000  4 Pd 2.74, 4 Li 2.77
In 0.0000 0.0000 0.5000  4 Li 2.83, 4 Pd 2.87
Pd 0.0000 0.5000 0.7672  2 Al 2.74, 4 Sc 2.74-2.87, 2 In 2.87
Pd 0.5000 0.0000 0.2328  4 Sc 2.74-2.87, 2 Al 2.74, 2 In 2.87

The total DFT energy (no corrections) is -4.809 eV/atom. The calculation puts the volume at 135 Å³/cell.